[1]
La6SnSb2Te3 | PBE | relaxed

The structure in extended XYZ format:
```
12
Lattice="4.624 0.000 0.000 0.000 9.215 0.336 -2.312 -2.650 9.706" Properties=species:S:1:pos:R:3 pbc="T T T"
La 2.312 -0.070 3.210
La 0.000 2.237 0.111
La 2.312 4.327 9.930
La 0.000 2.124 6.581
La 0.000 6.634 6.831
La 2.312 4.441 3.460
Sb 0.000 2.193 3.357
Sb 2.312 4.371 6.684
Sn 2.312 0.000 0.000
Te 2.312 -0.224 6.513
Te 0.000 6.788 3.528
Te 2.312 4.607 0.168
```

Formation energy (no corrections) ... -1.39 eV per atom
SG ... No. 12

---

[2]
LaSnSbTe2 | PBE | relaxed

The structure in extended XYZ format:
```
5
Lattice="-1.259 -3.684 4.650 5.890 -0.209 1.429 -0.708 4.811 3.620" Properties=species:S:1:pos:R:3 pbc="T T T"
Sb -0.354 2.406 1.810
Te -0.629 -1.842 2.325
Te 2.945 -0.104 0.715
Sn 1.962 0.459 4.850
La 0.000 0.000 0.000
```

Energy above the lowest structure with this stoichiometry ... 0.256 eV/atom
Formation energy (no corrections) ... 0.10 eV per atom
SG ... No. 123

---

[3]
LaSnSb2W | PBE | relaxed

The structure in extended XYZ format:
```
5
Lattice="-4.726 -2.916 2.143 -0.710 -2.709 -5.253 3.126 -3.900 1.588" Properties=species:S:1:pos:R:3 pbc="T T T"
Sb -0.355 -1.354 -2.626
Sb -2.363 -1.458 1.071
W 1.563 -1.950 0.794
La 0.000 0.000 0.000
Sn -1.155 -4.762 -0.761
```

Formation energy (no corrections) ... 1.54 eV per atom
SG ... No. 123

---

[4]
LaYSn2Sb | PBE | relaxed

The structure in extended XYZ format:
```
5
Lattice="5.735 0.000 0.000 0.000 5.897 0.000 0.000 0.000 5.735" Properties=species:S:1:pos:R:3 pbc="T T T"
Sn 2.868 0.000 0.000
Sn 0.000 0.000 2.868
Y 2.868 2.949 2.868
La 0.000 2.949 0.000
Sb 0.000 0.000 0.000
```

Formation energy (no corrections) ... 0.29 eV per atom
SG ... No. 123

---

[5]
SrLa2Sb2 | PBE | relaxed

The structure in extended XYZ format:
```
10
Lattice="9.052 0.000 0.000 0.000 9.052 0.000 0.000 0.000 4.060" Properties=species:S:1:pos:R:3 pbc="T T T"
Sb 1.546 6.072 2.030
Sb 2.980 1.546 2.030
Sb 7.506 2.980 2.030
Sb 6.072 7.506 2.030
La 3.370 7.896 0.000
La 5.682 1.156 0.000
La 7.896 5.682 0.000
La 1.156 3.370 0.000
Sr 4.526 4.526 0.000
Sr 0.000 0.000 0.000
```

Energy above the lowest structure with this stoichiometry ... 0.248 eV/atom
Formation energy (no corrections) ... -0.79 eV per atom
SG ... No. 127

---

[6]
SrLaSb2 | PBE | relaxed

The structure in extended XYZ format:
```
4
Lattice="-1.935 2.021 8.900 -3.195 -1.454 -4.269 -1.685 -3.074 2.302" Properties=species:S:1:pos:R:3 pbc="T T T"
La -2.565 0.283 2.315
Sb 0.000 0.000 0.000
Sb -1.810 -0.527 5.601
Sr -2.440 -2.264 -0.983
```

Energy above the lowest structure with this stoichiometry ... 0.065 eV/atom
Formation energy (no corrections) ... -0.93 eV per atom
SG ... No. 12